No. 1
Below is a relaxed Ce3MnSn crystal, with properties calculated at the GGA-PBE level.

abc: 5.0508 5.0508 5.0508
angles: 90.00 90.00 90.00
Closest atoms and distances in Å follow each position.
Element x y z (fractional)
Ce  0.0000  0.0000  0.5000  2 Mn 2.53
Ce  0.0000  0.5000  0.0000  2 Mn 2.53
Ce  0.5000  0.0000  0.0000  2 Mn 2.53
Mn  0.0000  0.0000  0.0000  6 Ce 2.53
Sn  0.5000  0.5000  0.5000  12 Ce 3.57

## Properties
space-group type	Pm-3m, No. 221
crystal system	cubic
VASP energy	-32.540	eV per cell
E_form	-7.22	kcal/mol of atoms

=====

No. 2
Below is a relaxed CeMnSn crystal, with properties calculated at the GGA-PBE level.

abc: 6.3703 6.3703 6.3703
angles: 149.66 149.66 43.44
Closest atoms and distances in Å follow each position.
Element x y z (fractional)
Ce  0.0000  0.0000  0.0000  4 Mn 3.07, 4 Ce 3.33, 4 Sn 3.40
Mn  0.6657  0.6657  0.0000  4 Sn 2.80, 4 Ce 3.07
Sn  0.2935  0.2935  0.0000  4 Mn 2.80

## Properties
space-group type	I4mm, No. 107
crystal system	tetragonal
VASP energy	-19.371	eV per cell
E_form	-2.04	kcal/mol of atoms

=====

No. 3
Below is a relaxed TbCe2Mn crystal, with properties calculated at the GGA-PBE level.

abc: 3.4644 3.4644 8.4490
angles: 90.00 90.00 90.00
Closest atoms and distances in Å follow each position.
Element x y z (fractional)
Tb  0.0000  0.0000  0.0000  4 Tb 3.46, 8 Ce 3.53
Ce  0.5000  0.5000  0.3013  4 Mn 2.97
Ce  0.5000  0.5000  0.6987  4 Mn 2.97
Mn  0.0000  0.0000  0.5000  8 Ce 2.97

## Properties
space-group type	P4/mmm, No. 123
crystal system	tetragonal
VASP energy	-24.860	eV per cell
energy above the lowest structure with this stoichiometry	0	meV per atom
E_form	4.65	kcal/mol of atoms

=====

No. 4
Below is a relaxed TbCeMn17 crystal, with properties calculated at the GGA-PBE level.

abc: 6.3146 6.3146 6.3146
angles: 86.35 86.35 86.35
Closest atoms and distances in Å follow each position.
Element x y z (fractional)
Tb  0.0000  0.0000  0.0000  16 Mn 2.93-3.27
Ce  0.2904  0.2904  0.2904  13 Mn 2.90-3.18
Mn  0.0029  0.0029  0.5181  9 Mn 2.47-2.69
Mn  0.0029  0.5181  0.0029  9 Mn 2.47-2.69
Mn  0.1446  0.6483  0.6483  8 Mn 2.30-2.48
Mn  0.2888  0.2888  0.7650  9 Mn 2.48-2.69
Mn  0.2888  0.7650  0.2888  9 Mn 2.48-2.69
Mn  0.3727  0.6457  0.9193  6 Mn 2.30-2.53
Mn  0.3727  0.9193  0.6457  6 Mn 2.30-2.53
Mn  0.5181  0.0029  0.0029  9 Mn 2.47-2.69
Mn  0.5440  0.5440  0.5440  1 Mn 2.33
Mn  0.6457  0.3727  0.9193  6 Mn 2.30-2.53
Mn  0.6457  0.9193  0.3727  6 Mn 2.30-2.53
Mn  0.6483  0.1446  0.6483  8 Mn 2.30-2.48
Mn  0.6483  0.6483  0.1446  8 Mn 2.30-2.48
Mn  0.7446  0.7446  0.7446  4 Mn 2.33-2.60
Mn  0.7650  0.2888  0.2888  9 Mn 2.48-2.69
Mn  0.9193  0.3727  0.6457  6 Mn 2.30-2.53
Mn  0.9193  0.6457  0.3727  6 Mn 2.30-2.53

## Properties
space-group type	R3m, No. 160
crystal system	trigonal
VASP energy	-166.121	eV per cell
E_form	0.40	kcal/mol of atoms

=====

No. 5
Below is a relaxed TbCeMn crystal, with properties calculated at the GGA-PBE level.

abc: 6.4685 6.4685 6.4685
angles: 148.90 148.90 44.56
Closest atoms and distances in Å follow each position.
Element x y z (fractional)
Tb  0.0000  0.0000  0.0000  4 Mn 3.05, 1 Ce 3.31
Ce  0.7234  0.7234  0.0000  4 Mn 2.87
Mn  0.3485  0.3485  0.0000  4 Ce 2.87, 4 Tb 3.05

## Properties
space-group type	I4mm, No. 107
crystal system	tetragonal
VASP energy	-19.111	eV per cell
energy above the lowest structure with this stoichiometry	40	meV per atom
E_form	4.79	kcal/mol of atoms

=====

No. 6
Below is a relaxed Tb2CeMn crystal, with properties calculated at the GGA-PBE level.

abc: 3.4931 3.4931 8.7733
angles: 90.00 90.00 90.00
Closest atoms and distances in Å follow each position.
Element x y z (fractional)
Tb  0.0000  0.0000  0.2013  4 Mn 3.04
Tb  0.0000  0.0000  0.7987  4 Mn 3.04
Ce  0.5000  0.5000  0.5000  4 Ce 3.49, 8 Tb 3.60
Mn  0.5000  0.5000  0.0000  8 Tb 3.04

## Properties
space-group type	P4/mmm, No. 123
crystal system	tetragonal
VASP energy	-23.685	eV per cell
energy above the lowest structure with this stoichiometry	0	meV per atom
E_form	3.91	kcal/mol of atoms

=====

No. 7
Below is a relaxed TbCeMn crystal, with properties calculated at the GGA-PBE level.

abc: 4.0927 4.0927 4.7075
angles: 90.00 90.00 120.00
Closest atoms and distances in Å follow each position.
Element x y z (fractional)
Tb  0.0000  0.0000  0.0000  6 Mn 3.34, 6 Ce 3.34
Ce  0.6667  0.3333  0.5000  3 Mn 2.36
Mn  0.3333  0.6667  0.5000  3 Ce 2.36

## Properties
space-group type	P-6m2, No. 187
crystal system	hexagonal
VASP energy	-19.232	eV per cell
energy above the lowest structure with this stoichiometry	0	meV per atom
E_form	3.85	kcal/mol of atoms

=====

No. 8
Below is a relaxed Tb2CeMn crystal, with properties calculated at the GGA-PBE level.

abc: 11.4530 11.4530 11.4530
angles: 16.79 16.79 16.79
Closest atoms and distances in Å follow each position.
Element x y z (fractional)
Tb  0.0827  0.0827  0.0827  1 Mn 2.80
Tb  0.9173  0.9173  0.9173  1 Mn 2.80
Ce  0.5000  0.5000  0.5000  6 Ce 3.34, 6 Tb 3.44
Mn  0.0000  0.0000  0.0000  2 Tb 2.80

## Properties
space-group type	R-3m, No. 166
crystal system	trigonal
VASP energy	-22.268	eV per cell
energy above the lowest structure with this stoichiometry	354	meV per atom
E_form	12.08	kcal/mol of atoms

=====

No. 9
Below is a relaxed TbCe2Mn crystal, with properties calculated at the GGA-PBE level.

abc: 8.7009 8.7009 8.7009
angles: 25.31 25.31 25.31
Closest atoms and distances in Å follow each position.
Element x y z (fractional)
Tb  0.0000  0.0000  0.0000  1 Mn 3.48, 6 Ce 3.51-3.65, 6 Tb 3.81
Ce  0.5512  0.5512  0.5512  3 Mn 2.99
Ce  0.7747  0.7747  0.7747  3 Mn 2.33
Mn  0.1378  0.1378  0.1378  3 Ce 2.33

## Properties
space-group type	R3m, No. 160
crystal system	trigonal
VASP energy	-24.828	eV per cell
energy above the lowest structure with this stoichiometry	8	meV per atom
E_form	4.84	kcal/mol of atoms

=====

No. 10
Below is a relaxed TbCeMn4 crystal, with properties calculated at the GGA-PBE level.

abc: 5.1588 5.1588 5.1588
angles: 60.00 60.00 60.00
Closest atoms and distances in Å follow each position.
Element x y z (fractional)
Tb  0.0000  0.0000  0.0000  12 Mn 3.03, 4 Ce 3.16
Ce  0.2500  0.2500  0.2500  12 Mn 3.02, 4 Tb 3.16
Mn  0.1259  0.6247  0.6247  6 Mn 2.57-2.59
Mn  0.6247  0.1259  0.6247  6 Mn 2.57-2.59
Mn  0.6247  0.6247  0.1259  6 Mn 2.57-2.59
Mn  0.6247  0.6247  0.6247  6 Mn 2.57-2.59

## Properties
space-group type	F-43m, No. 216
crystal system	cubic
VASP energy	-46.502	eV per cell
E_form	2.84	kcal/mol of atoms

=====

No. 11
Below is a relaxed Ce2MnTc3 crystal, with properties calculated at the GGA-PBE level.

abc: 5.2982 5.2982 9.0784
angles: 90.00 90.00 120.00
Closest atoms and distances in Å follow each position.
Element x y z (fractional)
Ce  0.3333  0.6667  0.0684  9 Tc 3.12-3.26, 3 Mn 3.12, 4 Ce 3.30
Ce  0.3333  0.6667  0.4316  9 Tc 3.12-3.26, 3 Mn 3.12, 4 Ce 3.30
Ce  0.6667  0.3333  0.5684  9 Tc 3.12-3.26, 3 Mn 3.12, 4 Ce 3.30
Ce  0.6667  0.3333  0.9316  9 Tc 3.12-3.26, 3 Mn 3.12, 4 Ce 3.30
Mn  0.0000  0.0000  0.0000  6 Tc 2.75
Mn  0.0000  0.0000  0.5000  6 Tc 2.75
Tc  0.1685  0.3371  0.7500  4 Tc 2.62-2.68, 2 Mn 2.75
Tc  0.1685  0.8315  0.7500  4 Tc 2.62-2.68, 2 Mn 2.75
Tc  0.3371  0.1685  0.2500  4 Tc 2.62-2.68, 2 Mn 2.75
Tc  0.6629  0.8315  0.7500  4 Tc 2.62-2.68, 2 Mn 2.75
Tc  0.8315  0.1685  0.2500  4 Tc 2.62-2.68, 2 Mn 2.75
Tc  0.8315  0.6629  0.2500  4 Tc 2.62-2.68, 2 Mn 2.75

## Properties
space-group type	P6_3/mmc, No. 194
crystal system	hexagonal
VASP energy	-105.162	eV per cell
energy above the lowest structure with this stoichiometry	7	meV per atom
E_form	-1.71	kcal/mol of atoms

=====

No. 12
Below is a relaxed Ce2MnTc3 crystal, with properties calculated at the GGA-PBE level.

abc: 5.1846 5.1846 5.5199
angles: 119.20 119.20 66.12
Closest atoms and distances in Å follow each position.
Element x y z (fractional)
Ce  0.1151  0.1151  0.3675  9 Tc 2.95-3.29, 3 Mn 2.98-3.22, 1 Ce 3.09
Ce  0.8849  0.8849  0.6325  9 Tc 2.95-3.29, 3 Mn 2.98-3.22, 1 Ce 3.09
Mn  0.5000  0.5000  0.5000  6 Tc 2.71-2.76, 2 Ce 2.98
Tc  0.0000  0.5000  0.0000  4 Tc 2.59-2.83, 2 Mn 2.71
Tc  0.5000  0.0000  0.0000  4 Tc 2.59-2.83, 2 Mn 2.71
Tc  0.5000  0.5000  0.0000  4 Tc 2.59, 2 Mn 2.76

## Properties
space-group type	C2/m, No. 12
crystal system	monoclinic
VASP energy	-52.623	eV per cell
energy above the lowest structure with this stoichiometry	0	meV per atom
E_form	-1.87	kcal/mol of atoms

=====

No. 13
Below is a relaxed Ce2MnTc crystal, with properties calculated at the GGA-PBE level.

abc: 3.4247 3.4247 7.2004
angles: 90.00 90.00 90.00
Closest atoms and distances in Å follow each position.
Element x y z (fractional)
Ce  0.0000  0.0000  0.2411  4 Tc 2.98, 4 Mn 3.06
Ce  0.0000  0.0000  0.7589  4 Tc 2.98, 4 Mn 3.06
Mn  0.5000  0.5000  0.5000  8 Ce 3.06
Tc  0.5000  0.5000  0.0000  8 Ce 2.98

## Properties
space-group type	P4/mmm, No. 123
crystal system	tetragonal
VASP energy	-30.866	eV per cell
energy above the lowest structure with this stoichiometry	0	meV per atom
E_form	3.10	kcal/mol of atoms

=====

No. 14
Below is a relaxed CeMnTc crystal, with properties calculated at the GGA-PBE level.

abc: 3.9056 3.9056 4.3871
angles: 90.00 90.00 120.00
Closest atoms and distances in Å follow each position.
Element x y z (fractional)
Ce  0.0000  0.0000  0.0000  3 Mn 2.95, 6 Tc 3.00-3.30
Mn  0.6667  0.3333  0.5649  3 Tc 2.31
Tc  0.3333  0.6667  0.4510  3 Mn 2.31

## Properties
space-group type	P3m1, No. 156
crystal system	trigonal
VASP energy	-25.014	eV per cell
energy above the lowest structure with this stoichiometry	0	meV per atom
E_form	3.50	kcal/mol of atoms

=====

No. 15
Below is a relaxed CeMnTc crystal, with properties calculated at the GGA-PBE level.

abc: 6.1577 6.1577 6.1577
angles: 90.00 90.00 90.00
Closest atoms and distances in Å follow each position.
Element x y z (fractional)
Ce  0.1390  0.3610  0.6390  4 Mn 2.91-3.21, 3 Tc 3.08
Ce  0.3610  0.6390  0.1390  4 Mn 2.91-3.21, 3 Tc 3.08
Ce  0.6390  0.1390  0.3610  4 Mn 2.91-3.21, 3 Tc 3.08
Ce  0.8610  0.8610  0.8610  4 Mn 2.91-3.21, 3 Tc 3.08
Mn  0.0601  0.9399  0.4399  3 Tc 2.29
Mn  0.4399  0.0601  0.9399  3 Tc 2.29
Mn  0.5601  0.5601  0.5601  3 Tc 2.29
Mn  0.9399  0.4399  0.0601  3 Tc 2.29
Tc  0.1758  0.1758  0.1758  3 Mn 2.29
Tc  0.3242  0.8242  0.6758  3 Mn 2.29
Tc  0.6758  0.3242  0.8242  3 Mn 2.29
Tc  0.8242  0.6758  0.3242  3 Mn 2.29

## Properties
space-group type	P2_13, No. 198
crystal system	cubic
VASP energy	-99.066	eV per cell
energy above the lowest structure with this stoichiometry	82	meV per atom
E_form	5.40	kcal/mol of atoms

=====

No. 16
Below is a relaxed CeMnTc2 crystal, with properties calculated at the GGA-PBE level.

abc: 4.5546 4.5546 4.5546
angles: 60.00 60.00 60.00
Closest atoms and distances in Å follow each position.
Element x y z (fractional)
Ce  0.0000  0.0000  0.0000  8 Tc 2.79
Mn  0.5000  0.5000  0.5000  8 Tc 2.79
Tc  0.2500  0.2500  0.2500  4 Mn 2.79, 4 Ce 2.79
Tc  0.7500  0.7500  0.7500  4 Mn 2.79, 4 Ce 2.79

## Properties
space-group type	Fm-3m, No. 225
crystal system	cubic
VASP energy	-35.118	eV per cell
E_form	4.14	kcal/mol of atoms

=====

No. 17
Below is a relaxed Ce2MnTc crystal, with properties calculated at the GGA-PBE level.

abc: 4.8999 4.8999 4.8999
angles: 60.00 60.00 60.00
Closest atoms and distances in Å follow each position.
Element x y z (fractional)
Ce  0.2500  0.2500  0.2500  4 Mn 3.00, 4 Tc 3.00
Ce  0.7500  0.7500  0.7500  4 Mn 3.00, 4 Tc 3.00
Mn  0.0000  0.0000  0.0000  8 Ce 3.00
Tc  0.5000  0.5000  0.5000  8 Ce 3.00

## Properties
space-group type	Fm-3m, No. 225
crystal system	cubic
VASP energy	-30.798	eV per cell
energy above the lowest structure with this stoichiometry	17	meV per atom
E_form	3.49	kcal/mol of atoms

=====

No. 18
Below is a relaxed CeUMnTc crystal, with properties calculated at the GGA-PBE level.

abc: 4.6384 4.6384 4.6384
angles: 60.00 60.00 60.00
Closest atoms and distances in Å follow each position.
Element x y z (fractional)
Ce  0.0000  0.0000  0.0000  4 Tc 2.84, 4 U 2.84
U  0.2500  0.2500  0.2500  4 Mn 2.84, 4 Ce 2.84
Mn  0.5000  0.5000  0.5000  4 Tc 2.84, 4 U 2.84
Tc  0.7500  0.7500  0.7500  4 Ce 2.84, 4 Mn 2.84

## Properties
space-group type	F-43m, No. 216
crystal system	cubic
VASP energy	-36.129	eV per cell
E_form	3.62	kcal/mol of atoms

=====

No. 19
Below is a relaxed CeThMn4 crystal, with properties calculated at the GGA-PBE level.

abc: 5.2021 5.2021 5.2021
angles: 60.00 60.00 60.00
Closest atoms and distances in Å follow each position.
Element x y z (fractional)
Ce  0.0000  0.0000  0.0000  12 Mn 3.05, 4 Th 3.19
Th  0.2500  0.2500  0.2500  12 Mn 3.05, 4 Ce 3.19
Mn  0.1230  0.6256  0.6256  6 Mn 2.59-2.61
Mn  0.6256  0.1230  0.6256  6 Mn 2.59-2.61
Mn  0.6256  0.6256  0.1230  6 Mn 2.59-2.61
Mn  0.6256  0.6256  0.6256  6 Mn 2.59-2.61

## Properties
space-group type	F-43m, No. 216
crystal system	cubic
VASP energy	-49.666	eV per cell
E_form	1.41	kcal/mol of atoms

=====

No. 20
Below is a relaxed CeTh2Mn crystal, with properties calculated at the GGA-PBE level.

abc: 6.9452 9.7837 6.2315
angles: 90.00 90.00 90.00
Closest atoms and distances in Å follow each position.
Element x y z (fractional)
Ce  0.0724  0.2500  0.1614  1 Mn 2.18
Ce  0.4276  0.7500  0.6614  1 Mn 2.18
Ce  0.5724  0.2500  0.3386  1 Mn 2.18
Ce  0.9276  0.7500  0.8386  1 Mn 2.18
Th  0.1457  0.0624  0.6839  2 Mn 2.90-2.99
Th  0.1457  0.4376  0.6839  2 Mn 2.90-2.99
Th  0.3543  0.5624  0.1839  2 Mn 2.90-2.99
Th  0.3543  0.9376  0.1839  2 Mn 2.90-2.99
Th  0.6457  0.0624  0.8161  2 Mn 2.90-2.99
Th  0.6457  0.4376  0.8161  2 Mn 2.90-2.99
Th  0.8543  0.5624  0.3161  2 Mn 2.90-2.99
Th  0.8543  0.9376  0.3161  2 Mn 2.90-2.99
Mn  0.1629  0.7500  0.4745  1 Ce 2.18
Mn  0.3371  0.2500  0.9745  1 Ce 2.18
Mn  0.6629  0.7500  0.0255  1 Ce 2.18
Mn  0.8371  0.2500  0.5255  1 Ce 2.18

## Properties
space-group type	Pnma, No. 62
crystal system	orthorhombic
VASP energy	-119.977	eV per cell
energy above the lowest structure with this stoichiometry	0	meV per atom
E_form	-0.29	kcal/mol of atoms